# 1
This record from the Alexandria database describes Pa2PbF after structural relaxation. The functional is PBE-GGA.

abc: 7.109 7.109 7.109
angles: 43.19 43.19 43.19
Element x y z (fractional)
Pa1 0.119 0.119 0.119
Pa2 0.881 0.881 0.881
Pb1 0.500 0.500 0.500
F1 0.000 0.000 0.000

Properties
V: 152.6 Å³/cell
Total magnetization: 5.00 μB/cell
Crystal system: trigonal
Raw formation energy: -386.0 meV/atom


# 2
This record from the Alexandria database describes PaTl2PbF8 after structural relaxation. The functional is PBE-GGA.

abc: 7.306 7.306 7.306
angles: 129.21 129.21 74.67
Element x y z (fractional)
Pa1 0.000 0.000 0.000
Tl1 0.500 0.500 0.000
Tl2 0.750 0.250 0.500
Pb1 0.250 0.750 0.500
F1 0.110 0.087 0.430
F2 0.110 0.680 0.024
F3 0.320 0.343 0.430
F4 0.320 0.890 0.976
F5 0.657 0.087 0.976
F6 0.657 0.680 0.570
F7 0.913 0.343 0.024
F8 0.913 0.890 0.570

Properties
V: 228.1 Å³/cell
Total magnetization: 1.01 μB/cell
Crystal system: tetragonal
Raw formation energy: -2790.2 meV/atom


# 3
This record from the Alexandria database describes PaPdF6 after structural relaxation. The functional is PBE-GGA.

abc: 5.326 5.326 5.969
angles: 103.63 103.63 70.72
Element x y z (fractional)
Pa1 0.000 0.000 0.000
Pd1 0.500 0.500 0.500
F1 0.189 0.709 0.728
F2 0.240 0.240 0.005
F3 0.291 0.811 0.272
F4 0.709 0.189 0.728
F5 0.760 0.760 0.995
F6 0.811 0.291 0.272

Properties
V: 153.0 Å³/cell
Total magnetization: 1.00 μB/cell
Crystal system: monoclinic
Raw formation energy: -2946.8 meV/atom


# 4
This record from the Alexandria database describes PmPaF after structural relaxation. The functional is PBE-GGA.

abc: 3.823 3.911 9.534
angles: 90.00 90.00 90.00
Element x y z (fractional)
Pm1 0.250 0.250 0.169
Pm2 0.750 0.750 0.831
Pa1 0.250 0.750 0.458
Pa2 0.750 0.250 0.542
F1 0.250 0.750 0.980
F2 0.750 0.250 0.020

Properties
V: 142.5 Å³/cell
Total magnetization: 0.00 μB/cell
Crystal system: orthorhombic
Raw formation energy: -1405.4 meV/atom